The following is a DFT calculation (PBE) of Nd8Co3OsCl4 after structural relaxation.

## Properties
- E_tot (eV/cell) = -91.09
- density of states at the Fermi level (states/eV/f.u.) = 4.8
- total moment (μB per formula unit) = 0.00
- symmetry = C2/m, No. 12

```
16
Lattice="-0.210 0.286 -7.948 -8.708 -1.812 0.165 2.387 6.353 4.147" Properties=species:S:1:pos:R:3 pbc="T T T"
Nd -3.878 4.944 2.248
Co -3.265 2.413 -1.818
Nd -3.982 5.085 -1.679
Cl 1.194 3.176 2.073
Nd -1.418 2.922 0.143
Cl 0.000 0.000 0.000
Nd -5.060 1.797 0.199
Nd -2.549 -0.259 -1.956
Nd -5.112 1.904 -3.778
Cl -0.105 0.143 -3.974
Co -4.459 -0.763 -3.891
Co -3.160 2.270 2.156
Cl 1.088 3.319 -1.900
Nd -1.471 3.029 -3.834
Os -4.354 -0.906 0.083
Nd -2.653 -0.118 -5.883
```